(1)
Computed, not measured: crystalline Zr2Pd4Se5 at its relaxed geometry at the PBE level of DFT.

abc: 16.286 16.286 16.286
angles: 14.42 14.42 14.42
Fractional positions:
1 Zr 0.134 0.134 0.134
2 Zr 0.866 0.866 0.866
3 Pd 0.316 0.316 0.316
4 Pd 0.423 0.423 0.423
5 Pd 0.577 0.577 0.577
6 Pd 0.684 0.684 0.684
7 Se 0.230 0.230 0.230
8 Se 0.370 0.370 0.370
9 Se 0.500 0.500 0.500
10 Se 0.630 0.630 0.630
11 Se 0.770 0.770 0.770

Results
ΔE_f (raw), eV per atom: -0.54



(2)
Computed, not measured: crystalline ZrPdSe3 at its relaxed geometry at the PBE level of DFT.

abc: 4.866 4.866 4.866
angles: 90.00 90.00 90.00
Fractional positions:
1 Zr 0.000 0.000 0.000
2 Pd 0.500 0.500 0.500
3 Se 0.000 0.500 0.500
4 Se 0.500 0.000 0.500
5 Se 0.500 0.500 0.000

Results
ΔE_f (raw), eV per atom: 0.06
Distance to the lowest polymorph of the same formula, kJ/mol of atoms: 77.4



(3)
Computed, not measured: crystalline ZrPd2Se at its relaxed geometry at the PBE level of DFT.

abc: 5.874 5.874 11.558
angles: 90.00 90.00 90.00
Fractional positions:
1 Zr 0.000 0.000 0.000
2 Zr 0.000 0.500 0.250
3 Zr 0.500 0.000 0.750
4 Zr 0.500 0.500 0.500
5 Pd 0.229 0.250 0.625
6 Pd 0.250 0.729 0.875
7 Pd 0.250 0.771 0.375
8 Pd 0.271 0.250 0.125
9 Pd 0.729 0.750 0.125
10 Pd 0.750 0.229 0.375
11 Pd 0.750 0.271 0.875
12 Pd 0.771 0.750 0.625
13 Se 0.000 0.000 0.500
14 Se 0.000 0.500 0.750
15 Se 0.500 0.000 0.250
16 Se 0.500 0.500 0.000

Results
ΔE_f (raw), eV per atom: -0.02



(4)
Computed, not measured: crystalline ZrPdSe3 at its relaxed geometry at the PBE level of DFT.

abc: 7.528 7.528 7.738
angles: 91.00 91.00 29.90
Fractional positions:
1 Zr 0.212 0.212 0.228
2 Zr 0.788 0.788 0.772
3 Pd 0.434 0.434 0.350
4 Pd 0.566 0.566 0.650
5 Se 0.022 0.022 0.232
6 Se 0.176 0.176 0.583
7 Se 0.349 0.349 0.981
8 Se 0.651 0.651 0.019
9 Se 0.824 0.824 0.417
10 Se 0.978 0.978 0.768

Results
ΔE_f (raw), eV per atom: -0.74
Distance to the lowest polymorph of the same formula, kJ/mol of atoms: 0.0



(5)
Computed, not measured: crystalline SiPd at its relaxed geometry at the PBE level of DFT.

abc: 3.739 3.739 6.655
angles: 90.00 90.00 120.00
Fractional positions:
1 Si 0.333 0.667 0.000
2 Si 0.667 0.333 0.500
3 Pd 0.333 0.667 0.360
4 Pd 0.667 0.333 0.860

Results
ΔE_f (raw), eV per atom: -0.05



(6)
Computed, not measured: crystalline SiPd2 at its relaxed geometry at the PBE level of DFT.

abc: 6.943 6.943 6.943
angles: 33.67 33.67 33.67
Fractional positions:
1 Si 0.080 0.080 0.080
2 Si 0.920 0.920 0.920
3 Pd 0.208 0.208 0.208
4 Pd 0.374 0.374 0.374
5 Pd 0.626 0.626 0.626
6 Pd 0.792 0.792 0.792

Results
ΔE_f (raw), eV per atom: -0.60



Repeat the third record exactly.
Computed, not measured: crystalline ZrPd2Se at its relaxed geometry at the PBE level of DFT.

abc: 5.874 5.874 11.558
angles: 90.00 90.00 90.00
Fractional positions:
1 Zr 0.000 0.000 0.000
2 Zr 0.000 0.500 0.250
3 Zr 0.500 0.000 0.750
4 Zr 0.500 0.500 0.500
5 Pd 0.229 0.250 0.625
6 Pd 0.250 0.729 0.875
7 Pd 0.250 0.771 0.375
8 Pd 0.271 0.250 0.125
9 Pd 0.729 0.750 0.125
10 Pd 0.750 0.229 0.375
11 Pd 0.750 0.271 0.875
12 Pd 0.771 0.750 0.625
13 Se 0.000 0.000 0.500
14 Se 0.000 0.500 0.750
15 Se 0.500 0.000 0.250
16 Se 0.500 0.500 0.000

Results
ΔE_f (raw), eV per atom: -0.02